LiThBr6 PBE relaxed; spin magnetization = 0.0 μB per formula unit; energy above the most stable polymorph in this dataset = 10 meV per atom; energy relative to the elements, uncorrected = -1.323 eV per atom; VASP energy = -29.959 eV per cell
1.0
7.8676 0.0000 0.0000
3.9338 6.8135 0.0000
3.9338 2.2712 6.4239
Li Th Br
1 1 6
direct
0.0000 0.0000 0.0000
0.5000 0.5000 0.5000
0.7549 0.7549 0.2451
0.7549 0.2451 0.2451
0.2451 0.7549 0.7549
0.2451 0.2451 0.7549
0.2451 0.7549 0.2451
0.7549 0.2451 0.7549